# PBE+U Cr2CdBiO8, relaxed
data_Cr2CdBiO8
_chemical_formula_sum 'Cr4 Cd2 Bi2 O16'
_symmetry_space_group_name_H-M 'I -4 m 2'
_symmetry_Int_Tables_number 119
_symmetry_space_group_name_Hall 'I -4 -2'
_cell_length_a 7.3085
_cell_length_b 7.3085
_cell_length_c 6.3958
_cell_angle_alpha 90.00
_cell_angle_beta 90.00
_cell_angle_gamma 90.00
loop_
_atom_site_label
_atom_site_type_symbol
_atom_site_fract_x
_atom_site_fract_y
_atom_site_fract_z
Cr1 Cr 0.0000 0.0000 0.0000
Cr2 Cr 0.0000 0.5000 0.2500
Cd1 Cd 0.0000 0.0000 0.5000
Bi1 Bi 0.0000 0.5000 0.7500
O1 O 0.0000 0.1850 0.8332
O2 O 0.0000 0.3198 0.4117
# Crystal system   tetragonal
# Calculated total energy   -0.22663 hartree per atom
# Spin magnetization   0.083 μB per atom
# ρ   5.380 g cm⁻³